A relaxed structure of NaCa2BF, computed with PBE.

The calculation puts the total energy at -11.80 eV for the cell shown. The value obtained for the total magnetic moment is 0.0 μB per formula unit.

The structure belongs to space group P4/mmm (No. 123); the cell edges are 5.7060, 5.7060 and 4.0719 Å and the angles 90.00°, 90.00° and 90.00°. Symmetry generates all atoms from Na at (0.0000, 0.0000, 0.0000), Ca at (0.0000, 0.5000, 0.0000), B at (0.0000, 0.0000, 0.5000) and F at (0.5000, 0.5000, 0.5000).

A relaxed structure of NaCaB2F8, computed with PBE.

The calculation puts the total energy at -65.58 eV for the cell shown. The value obtained for the total magnetic moment is 0.0 μB per formula unit.

The structure belongs to space group P-3 (No. 147); the cell edges are 5.3879, 5.3879 and 8.0619 Å and the angles 90.00°, 90.00° and 120.00°. Symmetry generates all atoms from Na at (0.0000, 0.0000, 0.0000), Ca at (0.0000, 0.0000, 0.5000), B at (0.3333, 0.6667, 0.7178), F at (0.1039, 0.4034, 0.6520) and F at (0.3333, 0.6667, 0.8879).

A relaxed structure of CaBOF2, computed with PBE.

The polymorph energy (0 for the lowest one) comes out at 0.0 meV/atom. The calculation puts the total energy at -27.00 eV for the cell shown. The value obtained for the total magnetic moment is 0.0 μB per formula unit.

The structure belongs to space group P4/mmm (No. 123); the cell edges are 4.3646, 4.3646 and 2.7659 Å and the angles 90.00°, 90.00° and 90.00°. Symmetry generates all atoms from Ca at (0.0000, 0.0000, 0.0000), B at (0.5000, 0.5000, 0.5000), O at (0.5000, 0.5000, 0.0000) and F at (0.0000, 0.5000, 0.5000).

A relaxed structure of CaBO2F, computed with PBE.

The calculation puts the total energy at -30.68 eV for the cell shown. The value obtained for the total magnetic moment is 0.0 μB per formula unit.

The structure belongs to space group P4/mmm (No. 123); the cell edges are 3.3573, 3.3573 and 3.8525 Å and the angles 90.00°, 90.00° and 90.00°. Symmetry generates all atoms from Ca at (0.0000, 0.0000, 0.0000), B at (0.5000, 0.5000, 0.5000), O at (0.0000, 0.5000, 0.5000) and F at (0.5000, 0.5000, 0.0000).

A relaxed structure of CaBO2F, computed with PBE.

The calculation puts the total energy at -69.49 eV for the cell shown. The value obtained for the total magnetic moment is 0.0 μB per formula unit.

The structure belongs to space group P2_1/m (No. 11); the cell edges are 5.4752, 3.7210 and 6.7833 Å and the angles 90.00°, 97.99° and 90.00°. Symmetry generates all atoms from Ca at (0.1889, 0.2500, 0.2074), B at (0.2620, 0.2500, 0.7203), O at (0.0920, 0.2500, 0.8488), O at (0.2542, 0.2500, 0.5292) and F at (0.4747, 0.7500, 0.1652).

A relaxed structure of CaBOF2, computed with PBE.

The polymorph energy (0 for the lowest one) comes out at 1017.7 meV/atom. The calculation puts the total energy at -21.92 eV for the cell shown. The value obtained for the total magnetic moment is 1.0 μB per formula unit.

The structure belongs to space group P4/mmm (No. 123); the cell edges are 4.3418, 4.3418 and 4.6899 Å and the angles 90.00°, 90.00° and 90.00°. Symmetry generates all atoms from Ca at (0.0000, 0.0000, 0.0000), B at (0.5000, 0.5000, 0.5000), O at (0.0000, 0.0000, 0.5000) and F at (0.0000, 0.5000, 0.0000).

A relaxed structure of CaBO2F, computed with PBE.

The calculation puts the total energy at -21.19 eV for the cell shown. The value obtained for the total magnetic moment is 2.0 μB per formula unit.

The structure belongs to space group P4/mmm (No. 123); the cell edges are 4.5384, 4.5384 and 4.3371 Å and the angles 90.00°, 90.00° and 90.00°. Symmetry generates all atoms from Ca at (0.0000, 0.0000, 0.0000), B at (0.5000, 0.5000, 0.5000), O at (0.0000, 0.5000, 0.0000) and F at (0.0000, 0.0000, 0.5000).

A relaxed structure of Ca2BPbF, computed with PBE.

The calculation puts the total energy at -14.48 eV for the cell shown. The value obtained for the total magnetic moment is 2.0 μB per formula unit.

The structure belongs to space group P4/mmm (No. 123); the cell edges are 6.0831, 6.0831 and 4.6231 Å and the angles 90.00°, 90.00° and 90.00°. Symmetry generates all atoms from Ca at (0.0000, 0.5000, 0.0000), B at (0.0000, 0.0000, 0.5000), Pb at (0.5000, 0.5000, 0.0000) and F at (0.5000, 0.5000, 0.5000).

A relaxed structure of RbCaB2F8, computed with PBE.

The calculation puts the total energy at -197.52 eV for the cell shown. The value obtained for the total magnetic moment is 0.0 μB per formula unit.

The structure belongs to space group R-3 (No. 148, hexagonal axes); the cell edges are 5.5500, 5.5500 and 25.0602 Å and the angles 90.00°, 90.00° and 120.00°. Symmetry generates all atoms from Rb at (0.0000, 0.0000, 0.0000), Ca at (0.0000, 0.0000, 0.5000), B at (0.0000, 0.0000, 0.2337), F at (0.0000, 0.0000, 0.2890) and F at (0.0430, 0.2602, 0.2134).

A relaxed structure of RbCaBF6, computed with PBE.

The calculation puts the total energy at -46.90 eV for the cell shown. The value obtained for the total magnetic moment is 0.0 μB per formula unit.

The structure belongs to space group P312 (No. 149); the cell edges are 5.3945, 5.3945 and 5.7964 Å and the angles 90.00°, 90.00° and 120.00°. Symmetry generates all atoms from Rb at (0.0000, 0.0000, 0.0000), Ca at (0.3333, 0.6667, 0.5000), B at (0.6667, 0.3333, 0.5000) and F at (0.4203, 0.0818, 0.6656).

A relaxed structure of CaTi2BF, computed with PBE.

The polymorph energy (0 for the lowest one) comes out at 0.0 meV/atom. The calculation puts the total energy at -26.75 eV for the cell shown. The value obtained for the total magnetic moment is 1.7 μB per formula unit.

The structure belongs to space group P4/mmm (No. 123); the cell edges are 4.1496, 4.1496 and 4.4426 Å and the angles 90.00°, 90.00° and 90.00°. Symmetry generates all atoms from Ca at (0.0000, 0.0000, 0.0000), Ti at (0.0000, 0.5000, 0.5000), B at (0.5000, 0.5000, 0.0000) and F at (0.0000, 0.0000, 0.5000).

A relaxed structure of CaTi2BF, computed with PBE.

The polymorph energy (0 for the lowest one) comes out at 121.3 meV/atom. The calculation puts the total energy at -26.14 eV for the cell shown. The value obtained for the total magnetic moment is 0.0 μB per formula unit.

The structure belongs to space group P4/mmm (No. 123); the cell edges are 4.0527, 4.0527 and 5.1733 Å and the angles 90.00°, 90.00° and 90.00°. Symmetry generates all atoms from Ca at (0.0000, 0.0000, 0.0000), Ti at (0.0000, 0.5000, 0.5000), B at (0.5000, 0.5000, 0.0000) and F at (0.5000, 0.5000, 0.5000).

A relaxed structure of CaTiBF2, computed with PBE.

The calculation puts the total energy at -24.29 eV for the cell shown. The value obtained for the total magnetic moment is 0.0 μB per formula unit.

The structure belongs to space group P4/mmm (No. 123); the cell edges are 3.9814, 3.9814 and 9.3478 Å and the angles 90.00°, 90.00° and 90.00°. Symmetry generates all atoms from Ca at (0.0000, 0.0000, 0.0000), Ti at (0.0000, 0.0000, 0.5000), B at (0.5000, 0.5000, 0.5000) and F at (0.0000, 0.5000, 0.0000).

A relaxed structure of CaTl2BF6, computed with PBE.

The calculation puts the total energy at -94.09 eV for the cell shown. The value obtained for the total magnetic moment is 0.0 μB per formula unit.

The structure belongs to space group C2/m (No. 12); the cell edges are 7.6040, 7.6033 and 7.7298 Å and the angles 90.00°, 119.26° and 90.00°. Symmetry generates all atoms from Ca at (0.0000, 0.0000, 0.0000), Tl at (0.0000, 0.2504, 0.5000), B at (0.0000, 0.5000, 0.0000), F at (0.0000, 0.3036, 0.0000), F at (0.1618, 0.0000, 0.3241) and F at (0.1969, 0.5000, 0.0010).

A relaxed structure of CaTlB2F8, computed with PBE.

The calculation puts the total energy at -198.05 eV for the cell shown. The value obtained for the total magnetic moment is 0.6 μB per formula unit.

The structure belongs to space group R-3 (No. 148, hexagonal axes); the cell edges are 5.3158, 5.3158 and 28.1808 Å and the angles 90.00°, 90.00° and 120.00°. Symmetry generates all atoms from Ca at (0.0000, 0.0000, 0.0000), Tl at (0.0000, 0.0000, 0.5000), B at (0.0000, 0.0000, 0.2687), F at (0.0000, 0.0000, 0.2204) and F at (0.0443, 0.2705, 0.7122).

A relaxed structure of CaFeB4, computed with PBE.

The calculation puts the total energy at -157.37 eV for the cell shown. The value obtained for the total magnetic moment is 0.5 μB per formula unit.

The structure belongs to space group Pbam (No. 55); the cell edges are 5.9173, 11.4524 and 3.3387 Å and the angles 90.00°, 90.00° and 90.00°. Symmetry generates all atoms from Ca at (0.1250, 0.1513, 0.0000), Fe at (0.1257, 0.4177, 0.0000), B at (0.0250, 0.6901, 0.5000), B at (0.1119, 0.5463, 0.5000), B at (0.1393, 0.9678, 0.5000) and B at (0.2219, 0.8179, 0.5000).

A relaxed structure of Ca2FeB10, computed with PBE.

The calculation puts the total energy at -167.21 eV for the cell shown. The value obtained for the total magnetic moment is 1.6 μB per formula unit.

The structure belongs to space group Pbam (No. 55); the cell edges are 5.6434, 11.2561 and 4.1716 Å and the angles 90.00°, 90.00° and 90.00°. Symmetry generates all atoms from Ca at (0.1892, 0.1379, 0.0000), Fe at (0.0000, 0.5000, 0.5000), B at (0.0297, 0.3129, 0.5000), B at (0.1274, 0.9592, 0.5000), B at (0.1607, 0.8023, 0.5000) and B at (0.1997, 0.3867, 0.2016).

A relaxed structure of CaFeB6, computed with PBE.

The calculation puts the total energy at -103.83 eV for the cell shown. The value obtained for the total magnetic moment is 0.0 μB per formula unit.

The structure belongs to space group C2/m (No. 12); the cell edges are 5.4081, 5.4100 and 5.7333 Å and the angles 90.00°, 114.42° and 90.00°. Symmetry generates all atoms from Ca at (0.0000, 0.0000, 0.0000), Fe at (0.0000, 0.5000, 0.5000), B at (0.0869, 0.5000, 0.1515) and B at (0.1871, 0.1599, 0.5920).

A relaxed structure of CaFe3B, computed with PBE.

The polymorph energy (0 for the lowest one) comes out at 2566.6 meV/atom. The calculation puts the total energy at -20.28 eV for the cell shown. The value obtained for the total magnetic moment is 7.1 μB per formula unit.

The structure belongs to space group Pm-3m (No. 221); the cell edges are 4.4509, 4.4509 and 4.4509 Å and the angles 90.00°, 90.00° and 90.00°. Symmetry generates all atoms from Ca at (0.0000, 0.0000, 0.0000), Fe at (0.0000, 0.0000, 0.5000) and B at (0.5000, 0.5000, 0.5000).

A relaxed structure of CaFe3B, computed with PBE.

The polymorph energy (0 for the lowest one) comes out at 0.0 meV/atom. The calculation puts the total energy at -33.12 eV for the cell shown. The value obtained for the total magnetic moment is 5.0 μB per formula unit.

The structure belongs to space group Pm-3m (No. 221); the cell edges are 4.0275, 4.0275 and 4.0275 Å and the angles 90.00°, 90.00° and 90.00°. Symmetry generates all atoms from Ca at (0.0000, 0.0000, 0.0000), Fe at (0.0000, 0.5000, 0.5000) and B at (0.5000, 0.5000, 0.5000).

A relaxed structure of CaFe2HgB, computed with PBE.

The calculation puts the total energy at -13.77 eV for the cell shown. The value obtained for the total magnetic moment is 5.3 μB per formula unit.

The structure belongs to space group P4/mmm (No. 123); the cell edges are 4.8902, 4.8902 and 5.5695 Å and the angles 90.00°, 90.00° and 90.00°. Symmetry generates all atoms from Ca at (0.0000, 0.0000, 0.0000), Fe at (0.0000, 0.5000, 0.0000), Hg at (0.0000, 0.0000, 0.5000) and B at (0.5000, 0.5000, 0.5000).